1.
The following is a PBE-GGA calculation of a relaxed YCr3I crystal, from Alexandria via LeMat-Bulk.

Unit cell a=5.293 b=5.293 c=5.293 alpha=90.00 beta=90.00 gamma=90.00
Space group Pm-3m (No. 221)
Asymmetric unit:
Y  0.000  0.000  0.000
Cr  0.000  0.000  0.500
I  0.500  0.500  0.500

Output
Volume: 148.25 Å³ per cell
Relative energy among the computed polymorphs: 624 meV/atom
N(E_F): 6.6 states/eV/f.u.
Magnetic moment: 12.30 μB/cell

=====

2.
The following is a PBE-GGA calculation of a relaxed YCrI2 crystal, from Alexandria via LeMat-Bulk.

Unit cell a=7.579 b=7.579 c=7.579 alpha=90.00 beta=90.00 gamma=90.00
Space group Fm-3m (No. 225)
Asymmetric unit:
Y  0.000  0.000  0.000
Cr  0.000  0.000  0.500
I  0.250  0.250  0.250

Output
Volume: 435.30 Å³ per cell
Relative energy among the computed polymorphs: 0 meV/atom
N(E_F): 2.3 states/eV/f.u.
Magnetic moment: 19.97 μB/cell

=====

3.
The following is a PBE-GGA calculation of a relaxed YCrI6 crystal, from Alexandria via LeMat-Bulk.

Unit cell a=7.3081 b=7.3081 c=19.6781 alpha=90.00 beta=90.00 gamma=120.00
Space group R-3 (No. 148, hexagonal axes)
Asymmetric unit:
Y  0.0000  0.0000  0.0000
Cr  0.0000  0.0000  0.5000
I  0.0016  0.6890  0.4201

Output
Volume: 910.20 Å³ per cell
Magnetic moment: 8.94 μB/cell

=====

4.
The following is a PBE-GGA calculation of a relaxed YCrI3 crystal, from Alexandria via LeMat-Bulk.

Unit cell a=6.018 b=6.018 c=6.018 alpha=90.00 beta=90.00 gamma=90.00
Space group Pm-3m (No. 221)
Asymmetric unit:
Y  0.000  0.000  0.000
Cr  0.500  0.500  0.500
I  0.000  0.000  0.500

Output
Volume: 217.95 Å³ per cell
Relative energy among the computed polymorphs: 0 meV/atom
N(E_F): 1.7 states/eV/f.u.
Magnetic moment: 5.98 μB/cell

=====

5.
The following is a PBE-GGA calculation of a relaxed Zn5CrI12 crystal, from Alexandria via LeMat-Bulk.

Unit cell a=4.155 b=10.732 c=15.192 alpha=99.15 beta=92.08 gamma=99.67
Space group P-1 (No. 2)
Asymmetric unit:
Zn  0.000  0.000  0.000
Zn  0.173  0.333  0.496
Zn  0.333  0.667  0.000
Cr  0.500  0.000  0.500
I  0.093  0.093  0.388
I  0.126  0.246  0.108
I  0.207  0.421  0.891
I  0.287  0.572  0.610
I  0.361  0.761  0.395
I  0.460  0.912  0.109

Output
Volume: 657.94 Å³ per cell
N(E_F): 0.4 states/eV/f.u.
Magnetic moment: 4.02 μB/cell

=====

6.
The following is a PBE-GGA calculation of a relaxed ZnCr2I2 crystal, from Alexandria via LeMat-Bulk.

Unit cell a=7.407 b=7.407 c=4.263 alpha=90.00 beta=90.00 gamma=90.00
Space group P4/mbm (No. 127)
Asymmetric unit:
Zn  0.000  0.000  0.000
Cr  0.088  0.412  0.000
I  0.171  0.671  0.500

Output
Volume: 233.88 Å³ per cell
Relative energy among the computed polymorphs: 120 meV/atom
N(E_F): 1.9 states/eV/f.u.
Magnetic moment: 3.78 μB/cell

=====

7.
The following is a PBE-GGA calculation of a relaxed Zn2CrI crystal, from Alexandria via LeMat-Bulk.

Unit cell a=8.089 b=8.089 c=5.643 alpha=90.00 beta=90.00 gamma=90.00
Space group I-42d (No. 122)
Asymmetric unit:
Zn  0.222  0.250  0.125
Cr  0.000  0.000  0.000
I  0.000  0.000  0.500

Output
Volume: 369.21 Å³ per cell
Relative energy among the computed polymorphs: 0 meV/atom
N(E_F): 1.5 states/eV/f.u.
Magnetic moment: 18.19 μB/cell

=====

8.
The following is a PBE-GGA calculation of a relaxed Zn2CrI crystal, from Alexandria via LeMat-Bulk.

Unit cell a=7.160 b=7.160 c=7.160 alpha=90.00 beta=90.00 gamma=90.00
Space group Fm-3m (No. 225)
Asymmetric unit:
Zn  0.250  0.250  0.250
Cr  0.000  0.000  0.000
I  0.000  0.000  0.500

Output
Volume: 367.12 Å³ per cell
Relative energy among the computed polymorphs: 340 meV/atom
N(E_F): 2.6 states/eV/f.u.
Magnetic moment: 19.77 μB/cell

=====

9.
The following is a PBE-GGA calculation of a relaxed ZnCr2I2 crystal, from Alexandria via LeMat-Bulk.

Unit cell a=5.515 b=5.515 c=7.790 alpha=90.00 beta=90.00 gamma=90.00
Space group I4/mmm (No. 139)
Asymmetric unit:
Zn  0.000  0.000  0.000
Cr  0.000  0.000  0.389
I  0.000  0.500  0.250

Output
Volume: 236.93 Å³ per cell
Relative energy among the computed polymorphs: 0 meV/atom
N(E_F): 1.7 states/eV/f.u.
Magnetic moment: 0.00 μB/cell

=====

10.
The following is a PBE-GGA calculation of a relaxed Zn3CrI9 crystal, from Alexandria via LeMat-Bulk.

Unit cell a=19.232 b=9.974 c=14.057 alpha=90.00 beta=128.22 gamma=90.00
Space group Cc (No. 9)
Asymmetric unit:
Zn  0.000  0.052  0.000
Zn  0.105  0.387  0.908
Zn  0.362  0.072  0.553
Cr  0.232  0.276  0.726
I  0.089  0.134  0.675
I  0.106  0.457  0.561
I  0.128  0.144  0.998
I  0.229  0.195  0.531
I  0.241  0.411  0.907
I  0.335  0.056  0.863
I  0.373  0.445  0.788
I  0.437  0.123  0.215
I  0.480  0.269  0.623

Output
Volume: 2118.45 Å³ per cell
Magnetic moment: 11.84 μB/cell

=====

11.
The following is a PBE-GGA calculation of a relaxed Zn2CrI6 crystal, from Alexandria via LeMat-Bulk.

Unit cell a=18.682 b=4.152 c=8.922 alpha=90.00 beta=109.42 gamma=90.00
Space group C2/m (No. 12)
Asymmetric unit:
Zn  0.166  0.000  0.337
Cr  0.000  0.500  0.000
I  0.007  0.000  0.232
I  0.158  0.500  0.102
I  0.174  0.500  0.568

Output
Volume: 652.68 Å³ per cell
N(E_F): 4.6 states/eV/f.u.
Magnetic moment: 8.00 μB/cell

=====

12.
The following is a PBE-GGA calculation of a relaxed ZrCrI2 crystal, from Alexandria via LeMat-Bulk.

Unit cell a=7.225 b=7.225 c=7.225 alpha=90.00 beta=90.00 gamma=90.00
Space group Fm-3m (No. 225)
Asymmetric unit:
Zr  0.000  0.000  0.000
Cr  0.000  0.000  0.500
I  0.250  0.250  0.250

Output
Volume: 377.21 Å³ per cell
Relative energy among the computed polymorphs: 0 meV/atom
N(E_F): 1.9 states/eV/f.u.
Magnetic moment: 15.99 μB/cell

=====

Per-record electronic total energy, eV per cell: -27.514; -77.521; -94.883; -22.084; -42.324; -39.783; -47.745; -42.308; -40.985; -131.829; -50.056; -80.692
Per-record energy relative to the elements, uncorrected, eV/atom: 1.87; -0.05; -0.78; -0.27; -0.43; 0.75; 0.45; 0.79; 0.63; -0.43; -0.40; 0.27